! Ac3P2IrRh9 | the Alexandria database | PBE | optimized geometry; values from VASP
&SYSTEM
  ibrav = 0, nat = 15, ntyp = 4
/
ATOMIC_SPECIES
Ac 227.00 Ac.upf
P 30.97 P.upf
Ir 192.22 Ir.upf
Rh 102.91 Rh.upf
CELL_PARAMETERS angstrom
6.1299 0.0000 0.0000
-3.0649 5.3086 0.0000
0.0000 0.0000 9.1805
ATOMIC_POSITIONS crystal
Ac 0.0000 0.0000 0.0000
Ac 0.3333 0.6667 0.6329
Ac 0.6667 0.3333 0.3671
P 0.3333 0.6667 0.1603
P 0.6667 0.3333 0.8397
Ir 0.0000 0.0000 0.5000
Rh 0.0000 0.5000 0.0000
Rh 0.1521 0.3041 0.2792
Rh 0.1521 0.8479 0.2792
Rh 0.3041 0.1521 0.7208
Rh 0.5000 0.0000 0.0000
Rh 0.5000 0.5000 0.0000
Rh 0.6959 0.8479 0.2792
Rh 0.8479 0.1521 0.7208
Rh 0.8479 0.6959 0.7208
! total DFT energy (no corrections)	-7.06	eV per atom
! magnetic moment	0.000	μB/f.u.
! formation enthalpy at 0 K	-0.5119	eV/atom
! density of states at the Fermi level	14.697	states/eV/cell

=====

! Ac2P3IrRh4 | the Alexandria database | PBE | optimized geometry; values from VASP
&SYSTEM
  ibrav = 0, nat = 10, ntyp = 4
/
ATOMIC_SPECIES
Ac 227.00 Ac.upf
P 30.97 P.upf
Ir 192.22 Ir.upf
Rh 102.91 Rh.upf
CELL_PARAMETERS angstrom
4.3327 0.0000 0.0000
0.0000 4.3327 0.0000
0.0000 0.0000 9.8692
ATOMIC_POSITIONS crystal
Ac 0.0000 0.5000 0.2494
Ac 0.5000 0.0000 0.7506
P 0.0000 0.0000 0.0000
P 0.0000 0.5000 0.6265
P 0.5000 0.0000 0.3735
Ir 0.5000 0.5000 0.0000
Rh 0.0000 0.0000 0.5000
Rh 0.0000 0.5000 0.8712
Rh 0.5000 0.0000 0.1288
Rh 0.5000 0.5000 0.5000
! total DFT energy (no corrections)	-7.07	eV per atom
! magnetic moment	0.002	μB/f.u.
! formation enthalpy at 0 K	-0.7946	eV/atom
! density of states at the Fermi level	9.795	states/eV/cell

=====

! AcP2Ir2Rh | the Alexandria database | PBE | optimized geometry; values from VASP
&SYSTEM
  ibrav = 0, nat = 12, ntyp = 4
/
ATOMIC_SPECIES
Ac 227.00 Ac.upf
P 30.97 P.upf
Ir 192.22 Ir.upf
Rh 102.91 Rh.upf
CELL_PARAMETERS angstrom
5.6871 0.0000 0.0000
0.0000 10.7463 0.0000
0.0000 0.0000 3.9922
ATOMIC_POSITIONS crystal
Ac 0.0000 0.0000 0.0000
Ac 0.5000 0.5000 0.5000
P 0.1752 0.3104 0.0000
P 0.3248 0.8104 0.5000
P 0.6752 0.1896 0.5000
P 0.8248 0.6896 0.0000
Ir 0.0206 0.6834 0.5000
Ir 0.4794 0.1834 0.0000
Ir 0.5206 0.8166 0.0000
Ir 0.9794 0.3166 0.5000
Rh 0.0000 0.5000 0.0000
Rh 0.5000 0.0000 0.5000
! total DFT energy (no corrections)	-7.37	eV per atom
! magnetic moment	0.000	μB/f.u.
! formation enthalpy at 0 K	-0.6990	eV/atom
! density of states at the Fermi level	4.484	states/eV/cell

=====

! Ac6PIr2S3 | the Alexandria database | PBE | optimized geometry; values from VASP
&SYSTEM
  ibrav = 0, nat = 12, ntyp = 4
/
ATOMIC_SPECIES
Ac 227.00 Ac.upf
P 30.97 P.upf
Ir 192.22 Ir.upf
S 32.06 S.upf
CELL_PARAMETERS angstrom
3.7630 -6.5220 0.0000
3.7630 6.5220 0.0000
-2.5411 0.0000 7.3288
ATOMIC_POSITIONS crystal
Ac 0.0804 0.4230 0.7648
Ac 0.2361 0.2361 0.2360
Ac 0.4230 0.0804 0.7648
Ac 0.5770 0.9196 0.2352
Ac 0.7639 0.7639 0.7640
Ac 0.9196 0.5770 0.2352
P 0.5000 0.5000 0.0000
Ir 0.1674 0.8326 0.0000
Ir 0.8326 0.1674 0.0000
S 0.0000 0.0000 0.5000
S 0.3384 0.6616 0.5000
S 0.6616 0.3384 0.5000
! total DFT energy (no corrections)	-6.46	eV per atom
! magnetic moment	0.000	μB/f.u.
! energy relative to the elements, uncorrected	-1.44	eV/atom
! density of states at the Fermi level	8.523	states/eV/cell

=====

! Ac6P2IrS3 | the Alexandria database | PBE | optimized geometry; values from VASP
&SYSTEM
  ibrav = 0, nat = 12, ntyp = 4
/
ATOMIC_SPECIES
Ac 227.00 Ac.upf
P 30.97 P.upf
Ir 192.22 Ir.upf
S 32.06 S.upf
CELL_PARAMETERS angstrom
9.5094 -2.1774 0.0000
9.5094 2.1774 0.0000
-2.0328 0.0000 8.6241
ATOMIC_POSITIONS crystal
Ac 0.0004 0.0004 0.2411
Ac 0.9996 0.9996 0.7589
Ac 0.3314 0.3314 0.4195
Ac 0.3385 0.3385 0.9137
Ac 0.6615 0.6615 0.0863
Ac 0.6686 0.6686 0.5805
P 0.1659 0.1659 0.3355
P 0.8341 0.8341 0.6645
Ir 0.5000 0.5000 0.0000
S 0.1699 0.1699 0.8333
S 0.5000 0.5000 0.5000
S 0.8301 0.8301 0.1667
! total DFT energy (no corrections)	-6.34	eV per atom
! magnetic moment	0.000	μB/f.u.
! energy relative to the elements, uncorrected	-1.62	eV/atom
! density of states at the Fermi level	5.983	states/eV/cell

=====

! Ac8P3IrSe4 | the Alexandria database | PBE | optimized geometry; values from VASP
&SYSTEM
  ibrav = 0, nat = 16, ntyp = 4
/
ATOMIC_SPECIES
Ac 227.00 Ac.upf
P 30.97 P.upf
Ir 192.22 Ir.upf
Se 78.96 Se.upf
CELL_PARAMETERS angstrom
4.4383 2.5624 7.3608
-4.4383 2.5624 7.3608
0.0000 -5.1249 7.3608
ATOMIC_POSITIONS crystal
Ac 0.2446 0.2446 0.2446
Ac 0.2486 0.7409 0.7409
Ac 0.2591 0.2591 0.7514
Ac 0.2591 0.7514 0.2591
Ac 0.7409 0.2486 0.7409
Ac 0.7409 0.7409 0.2486
Ac 0.7514 0.2591 0.2591
Ac 0.7554 0.7554 0.7554
P 0.0000 0.0000 0.5000
P 0.0000 0.5000 0.0000
P 0.5000 0.0000 0.0000
Ir 0.5000 0.5000 0.5000
Se 0.0000 0.0000 0.0000
Se 0.0000 0.5000 0.5000
Se 0.5000 0.0000 0.5000
Se 0.5000 0.5000 0.0000
! total DFT energy (no corrections)	-6.10	eV per atom
! magnetic moment	0.000	μB/f.u.
! energy relative to the elements, uncorrected	-1.61	eV/atom
! density of states at the Fermi level	10.364	states/eV/cell

=====

! Ac4PIrSe2 | the Alexandria database | PBE | optimized geometry; values from VASP
&SYSTEM
  ibrav = 0, nat = 8, ntyp = 4
/
ATOMIC_SPECIES
Ac 227.00 Ac.upf
P 30.97 P.upf
Ir 192.22 Ir.upf
Se 78.96 Se.upf
CELL_PARAMETERS angstrom
7.7239 0.0000 0.0000
0.0000 4.3792 0.0000
-2.4040 0.0000 7.4634
ATOMIC_POSITIONS crystal
Ac 0.2364 0.0000 0.2265
Ac 0.2485 0.5000 0.7728
Ac 0.7515 0.5000 0.2272
Ac 0.7635 0.0000 0.7735
P 0.5000 0.0000 0.0000
Ir 0.0000 0.5000 0.0000
Se 0.0000 0.0000 0.5000
Se 0.5000 0.5000 0.5000
! total DFT energy (no corrections)	-6.19	eV per atom
! magnetic moment	0.000	μB/f.u.
! energy relative to the elements, uncorrected	-1.48	eV/atom
! density of states at the Fermi level	5.579	states/eV/cell

=====

! Ac8PIr3Se3 | the Alexandria database | PBE | optimized geometry; values from VASP
&SYSTEM
  ibrav = 0, nat = 15, ntyp = 4
/
ATOMIC_SPECIES
Ac 227.00 Ac.upf
P 30.97 P.upf
Ir 192.22 Ir.upf
Se 78.96 Se.upf
CELL_PARAMETERS angstrom
4.4121 2.5473 7.4095
-4.4121 2.5473 7.4095
0.0000 -5.0947 7.4095
ATOMIC_POSITIONS crystal
Ac 0.2344 0.7445 0.7445
Ac 0.2421 0.2421 0.2421
Ac 0.2555 0.2555 0.7656
Ac 0.2555 0.7656 0.2555
Ac 0.7445 0.2344 0.7445
Ac 0.7445 0.7445 0.2344
Ac 0.7579 0.7579 0.7579
Ac 0.7656 0.2555 0.2555
P 0.5000 0.5000 0.5000
Ir 0.0000 0.0000 0.5000
Ir 0.0000 0.5000 0.0000
Ir 0.5000 0.0000 0.0000
Se 0.0000 0.5000 0.5000
Se 0.5000 0.0000 0.5000
Se 0.5000 0.5000 0.0000
! total DFT energy (no corrections)	-6.21	eV per atom
! magnetic moment	0.000	μB/f.u.
! energy relative to the elements, uncorrected	-1.19	eV/atom
! density of states at the Fermi level	12.553	states/eV/cell

=====

! Ac8PIr3Se4 | the Alexandria database | PBE | optimized geometry; values from VASP
&SYSTEM
  ibrav = 0, nat = 16, ntyp = 4
/
ATOMIC_SPECIES
Ac 227.00 Ac.upf
P 30.97 P.upf
Ir 192.22 Ir.upf
Se 78.96 Se.upf
CELL_PARAMETERS angstrom
4.3858 2.5322 7.5634
-4.3858 2.5322 7.5634
0.0000 -5.0643 7.5634
ATOMIC_POSITIONS crystal
Ac 0.2339 0.7445 0.7445
Ac 0.2422 0.2422 0.2422
Ac 0.2555 0.2555 0.7661
Ac 0.2555 0.7661 0.2555
Ac 0.7445 0.2339 0.7445
Ac 0.7445 0.7445 0.2339
Ac 0.7578 0.7578 0.7578
Ac 0.7661 0.2555 0.2555
P 0.5000 0.5000 0.5000
Ir 0.0000 0.0000 0.5000
Ir 0.0000 0.5000 0.0000
Ir 0.5000 0.0000 0.0000
Se 0.0000 0.0000 0.0000
Se 0.0000 0.5000 0.5000
Se 0.5000 0.0000 0.5000
Se 0.5000 0.5000 0.0000
! total DFT energy (no corrections)	-6.30	eV per atom
! magnetic moment	0.000	μB/f.u.
! energy relative to the elements, uncorrected	-1.37	eV/atom
! density of states at the Fermi level	10.212	states/eV/cell

=====

! AcSiPIr6 | the Alexandria database | PBE | optimized geometry; values from VASP
&SYSTEM
  ibrav = 0, nat = 18, ntyp = 4
/
ATOMIC_SPECIES
Ac 227.00 Ac.upf
Si 28.09 Si.upf
P 30.97 P.upf
Ir 192.22 Ir.upf
CELL_PARAMETERS angstrom
-3.6178 4.2258 5.6191
3.6178 -4.2258 5.6191
3.6178 4.2258 -5.6191
ATOMIC_POSITIONS crystal
Ac 0.4062 0.1562 0.2500
Ac 0.5938 0.8438 0.7500
Si 0.0000 0.0000 0.5000
Si 0.0000 0.5000 0.0000
P 0.0000 0.5000 0.5000
P 0.5000 0.5000 0.0000
Ir 0.1054 0.3870 0.2372
Ir 0.1054 0.8682 0.7184
Ir 0.1361 0.8861 0.2500
Ir 0.3292 0.5792 0.7500
Ir 0.3502 0.1318 0.7372
Ir 0.3502 0.6130 0.2184
Ir 0.6498 0.3870 0.7816
Ir 0.6498 0.8682 0.2628
Ir 0.6708 0.4208 0.2500
Ir 0.8639 0.1139 0.7500
Ir 0.8946 0.1318 0.2816
Ir 0.8946 0.6130 0.7628
! total DFT energy (no corrections)	-7.58	eV per atom
! magnetic moment	0.000	μB/f.u.
! energy relative to the elements, uncorrected	-0.02	eV/atom
! density of states at the Fermi level	19.903	states/eV/cell